[1]
BaAuN2F (SCAN, PBEsol geometry); formation energy (no corrections) = -1.6 eV per formula unit; space-group type = P4/mmm, No. 123
1.0
-3.834 -0.596 -0.689
-0.638 -0.369 3.871
-0.857 5.114 0.346
N F Ba Au
2 1 1 1
direct
0.000 0.500 0.000 N
0.500 0.000 0.000 N
0.000 0.000 0.500 F
0.500 0.500 0.500 Ba
0.000 0.000 0.000 Au



[2]
CeFeCo (SCAN, PBEsol geometry); space-group type = Imma, No. 74; energy relative to the elements = -11 kJ/mol of formula units
1.0
4.733 0.000 0.000
2.367 4.376 0.061
2.367 1.406 4.144
Ce Co Fe
2 2 2
direct
0.124 0.126 0.626 Ce
0.876 0.874 0.374 Ce
0.500 0.500 0.500 Co
0.500 0.000 0.000 Co
0.500 0.500 0.000 Fe
0.000 0.500 0.000 Fe



[3]
MgBeS2 (SCAN, PBEsol geometry); formation energy (no corrections) = -4.5 eV per formula unit; space-group type = R-3m, No. 166; polymorph energy (0 for the lowest one) = 281 meV per atom
1.0
3.899 0.000 0.000
1.949 3.376 0.000
1.949 1.125 6.354
S Mg Be
2 1 1
direct
0.099 0.099 0.704 S
0.901 0.901 0.296 S
0.500 0.500 0.500 Mg
0.000 0.000 0.000 Be



[4]
SrRu2O6 (SCAN, PBEsol geometry); formation energy (no corrections) = -14.3 eV per formula unit; space-group type = P-31m, No. 162
1.0
5.081 0.000 0.000
0.000 5.247 0.000
0.000 -2.623 4.544
Sr O Ru
1 6 2
direct
0.000 0.000 0.000 Sr
0.299 0.384 0.000 O
0.299 0.000 0.384 O
0.299 0.616 0.616 O
0.701 0.616 0.000 O
0.701 0.000 0.616 O
0.701 0.384 0.384 O
0.500 0.333 0.667 Ru
0.500 0.667 0.333 Ru



[5]
MnBeAs2 (SCAN, PBEsol geometry); space-group type = R-3m, No. 166; polymorph energy (0 for the lowest one) = 0 meV per atom; energy relative to the elements = -35 kJ/mol of formula units
1.0
3.370 0.000 0.000
1.685 2.919 0.000
1.685 0.973 5.948
As Be Mn
2 1 1
direct
0.754 0.754 0.739 As
0.246 0.246 0.261 As
0.500 0.500 0.500 Be
0.000 0.000 0.000 Mn



[6]
Cd2CoP (SCAN, PBEsol geometry); space-group type = R-3m, No. 166; energy relative to the elements = 179 kJ/mol of formula units
1.0
2.881 0.000 0.000
1.441 2.495 0.000
1.441 0.832 9.121
Cd P Co
2 1 1
direct
0.756 0.756 0.732 Cd
0.244 0.244 0.268 Cd
0.000 0.000 0.000 P
0.500 0.500 0.500 Co



[7]
SeIBr2 (SCAN, PBEsol geometry); formation energy (no corrections) = 0.8 eV per formula unit; space-group type = R-3m, No. 166; polymorph energy (0 for the lowest one) = 0 meV per atom
1.0
3.362 0.000 0.000
1.681 2.912 0.000
1.681 0.971 12.055
Br Se I
2 1 1
direct
0.067 0.067 0.799 Br
0.933 0.933 0.201 Br
0.000 0.000 0.000 Se
0.500 0.500 0.500 I



[8]
TaAsCl2 (SCAN, PBEsol geometry); formation energy (no corrections) = 1.0 eV per formula unit; space-group type = C2/m, No. 12; polymorph energy (0 for the lowest one) = 682 meV per atom
1.0
3.427 -0.014 0.000
-0.205 4.648 0.000
-1.611 -2.317 4.424
Ta As Cl
1 1 2
direct
0.500 0.000 0.000 Ta
0.000 0.500 0.000 As
0.500 0.500 0.500 Cl
0.000 0.000 0.500 Cl



[9]
ZnNi2Ir (SCAN, PBEsol geometry); space-group type = Cm, No. 8; energy relative to the elements = -39 kJ/mol of formula units
1.0
-0.515 1.240 2.245
-4.121 0.759 -1.364
-0.200 -4.352 0.834
Ir Zn Ni
1 1 2
direct
0.254 0.768 0.507 Ir
0.497 0.481 0.995 Zn
0.748 0.256 0.496 Ni
0.001 0.995 0.002 Ni



[10]
CrMoSe2 (SCAN, PBEsol geometry); formation energy (no corrections) = 1.3 eV per formula unit; space-group type = C2/m, No. 12; polymorph energy (0 for the lowest one) = 473 meV per atom
1.0
-1.842 -2.134 1.548
0.866 -1.730 -4.614
4.578 -0.125 2.013
Cr Se Mo
1 2 1
direct
0.000 0.000 0.000 Cr
0.000 0.000 0.500 Se
0.000 0.500 0.000 Se
0.000 0.500 0.500 Mo



[11]
Ho3Se4O12F (SCAN, PBEsol geometry); formation energy (no corrections) = -45.1 eV per formula unit; space-group type = P6_3mc, No. 186
1.0
6.706 0.000 0.000
0.000 10.298 0.000
0.000 -5.149 8.918
Se O Ho F
8 24 6 2
direct
0.236 0.667 0.333 Se
0.065 0.691 0.845 Se
0.565 0.845 0.691 Se
0.565 0.309 0.155 Se
0.065 0.155 0.845 Se
0.736 0.333 0.667 Se
0.565 0.845 0.155 Se
0.065 0.155 0.309 Se
0.492 0.920 0.337 O
0.309 0.632 0.816 O
0.492 0.663 0.583 O
0.992 0.583 0.663 O
0.809 0.368 0.184 O
0.492 0.417 0.080 O
0.119 0.580 0.420 O
0.992 0.337 0.920 O
0.809 0.816 0.184 O
0.992 0.583 0.920 O
0.619 0.420 0.580 O
0.119 0.839 0.420 O
0.492 0.663 0.080 O
0.992 0.080 0.417 O
0.309 0.184 0.368 O
0.309 0.184 0.816 O
0.492 0.417 0.337 O
0.619 0.161 0.580 O
0.619 0.420 0.839 O
0.992 0.337 0.417 O
0.119 0.580 0.161 O
0.492 0.920 0.583 O
0.809 0.816 0.632 O
0.992 0.080 0.663 O
0.296 0.462 0.923 Ho
0.296 0.462 0.538 Ho
0.796 0.538 0.077 Ho
0.796 0.923 0.462 Ho
0.796 0.538 0.462 Ho
0.296 0.077 0.538 Ho
0.747 0.667 0.333 F
0.247 0.333 0.667 F



[12]
LiAgF4 (SCAN, PBEsol geometry); formation energy (no corrections) = -11.1 eV per formula unit; space-group type = C2/c, No. 15; polymorph energy (0 for the lowest one) = 0 meV per atom
1.0
-3.926 2.344 -1.707
-3.495 -4.079 2.436
3.744 3.415 3.949
F Ag Li
8 2 2
direct
0.591 0.497 0.261 F
0.541 0.006 0.217 F
0.909 0.236 0.739 F
0.459 0.994 0.783 F
0.409 0.503 0.739 F
0.091 0.764 0.261 F
0.041 0.211 0.217 F
0.959 0.789 0.783 F
0.500 0.000 0.500 Ag
0.000 0.500 0.500 Ag
0.750 0.828 0.000 Li
0.250 0.172 0.000 Li



[13]
Sr2CoSb (SCAN, PBEsol geometry); formation energy (no corrections) = 0.4 eV per formula unit; space-group type = R-3m, No. 166
1.0
3.937 0.000 0.000
1.969 3.410 0.000
1.969 1.137 8.821
Sr Co Sb
2 1 1
direct
0.240 0.240 0.280 Sr
0.760 0.760 0.720 Sr
0.500 0.500 0.500 Co
0.000 0.000 0.000 Sb



[14]
MgReMo (SCAN, PBEsol geometry); space-group type = F-43m, No. 216; polymorph energy (0 for the lowest one) = 542 meV per atom; energy relative to the elements = 214 kJ/mol of formula units
1.0
-3.933 -1.144 1.197
-2.032 -3.134 -2.065
-0.638 -3.758 1.920
Mg Re Mo
1 1 1
direct
0.000 0.000 0.000 Mg
0.750 0.750 0.750 Re
0.500 0.500 0.500 Mo



[15]
NaNb2PdF (SCAN, PBEsol geometry); formation energy (no corrections) = 3.9 eV per formula unit; space-group type = P4/mmm, No. 123
1.0
4.816 0.000 0.000
0.000 4.816 0.000
0.000 0.000 5.512
Nb Pd F Na
2 1 1 1
direct
0.500 0.000 0.000 Nb
0.000 0.500 0.000 Nb
0.000 0.000 0.000 Pd
0.500 0.500 0.500 F
0.000 0.000 0.500 Na



[16]
Tl2TcAu (SCAN, PBEsol geometry); space-group type = P4/mmm, No. 123; energy relative to the elements = 232 kJ/mol of formula units
1.0
-2.546 0.716 2.411
-0.242 -4.450 1.067
3.211 0.596 3.213
Tl Au Tc
2 1 1
direct
0.000 0.000 0.500 Tl
0.000 0.500 0.000 Tl
0.500 0.500 0.500 Au
0.500 0.000 0.000 Tc



[17]
Al2BAu (SCAN, PBEsol geometry); space-group type = I-42d, No. 122; energy relative to the elements = 72 kJ/mol of formula units
1.0
-4.860 -0.375 1.698
1.731 -1.528 4.616
1.742 6.198 -1.488
Al B Au
4 2 2
direct
0.787 0.375 0.250 Al
0.125 0.213 0.750 Al
0.625 0.537 0.750 Al
0.463 0.875 0.250 Al
0.500 0.500 0.000 B
0.750 0.250 0.500 B
0.000 0.000 0.000 Au
0.250 0.750 0.500 Au



[18]
YZr2Tc (SCAN, PBEsol geometry); space-group type = Pmmm, No. 47; polymorph energy (0 for the lowest one) = 352 meV per atom; energy relative to the elements = 69 kJ/mol of formula units
1.0
-2.038 2.292 -1.592
-3.256 -0.418 3.567
2.171 3.598 2.403
Zr Tc Y
2 1 1
direct
0.500 0.500 0.000 Zr
0.000 0.000 0.000 Zr
0.500 0.000 0.500 Tc
0.000 0.500 0.500 Y



[19]
P2C (SCAN, PBEsol geometry); space-group type = P-3m1, No. 164; polymorph energy (0 for the lowest one) = 0 meV per atom; energy relative to the elements = 208 kJ/mol of formula units
1.0
2.797 0.000 0.000
-1.398 2.422 0.000
0.000 0.000 18.645
P C
6 3
direct
0.667 0.333 0.432 P
0.000 0.000 0.885 P
0.000 0.000 0.115 P
0.667 0.333 0.262 P
0.333 0.667 0.568 P
0.333 0.667 0.738 P
0.333 0.667 0.837 C
0.000 0.000 0.500 C
0.667 0.333 0.163 C



[20]
TcPbAuI2 (SCAN, PBEsol geometry); formation energy (no corrections) = 4.4 eV per formula unit; space-group type = P4/mmm, No. 123
1.0
5.195 0.000 0.000
0.000 5.495 0.000
0.000 0.000 5.495
I Tc Pb Au
2 1 1 1
direct
0.000 0.500 0.000 I
0.000 0.000 0.500 I
0.500 0.000 0.000 Tc
0.500 0.500 0.500 Pb
0.000 0.000 0.000 Au



[21]
CuPO4 (SCAN, PBEsol geometry); formation energy (no corrections) = -9.4 eV per formula unit; space-group type = Fdd2, No. 43
1.0
-0.366 -4.230 3.368
-1.574 -4.781 -1.816
4.893 -3.388 0.636
Cu O P
2 8 2
direct
0.974 0.052 0.000 Cu
0.224 0.552 0.500 Cu
0.999 0.055 0.682 O
0.504 0.469 0.637 O
0.946 0.055 0.318 O
0.391 0.969 0.863 O
0.513 0.555 0.182 O
0.639 0.969 0.137 O
0.027 0.469 0.363 O
0.932 0.555 0.818 O
0.860 0.280 0.500 P
0.610 0.780 0.000 P



[22]
ThGeO4 (SCAN, PBEsol geometry); formation energy (no corrections) = -18.0 eV per formula unit; space-group type = I4_1/amd, No. 141
1.0
6.070 0.000 0.000
-2.552 5.507 0.000
-1.759 -2.753 5.115
O Th Ge
8 2 2
direct
0.889 0.571 0.317 O
0.996 0.179 0.817 O
0.429 0.111 0.683 O
0.429 0.746 0.317 O
0.821 0.639 0.817 O
0.254 0.571 0.683 O
0.361 0.179 0.183 O
0.821 0.004 0.183 O
0.750 0.250 0.500 Th
0.500 0.500 0.000 Th
0.250 0.750 0.500 Ge
0.000 0.000 0.000 Ge



[23]
Ta2TlTc (SCAN, PBEsol geometry); space-group type = F-43m, No. 216; polymorph energy (0 for the lowest one) = 174 meV per atom; energy relative to the elements = 149 kJ/mol of formula units
1.0
4.620 0.000 0.000
2.310 4.001 0.000
2.310 1.334 3.773
Ta Tl Tc
2 1 1
direct
0.000 0.000 0.000 Ta
0.750 0.750 0.750 Ta
0.250 0.250 0.250 Tl
0.500 0.500 0.500 Tc



[24]
YCo2Au (SCAN, PBEsol geometry); space-group type = P4/mmm, No. 123; polymorph energy (0 for the lowest one) = 0 meV per atom; energy relative to the elements = -48 kJ/mol of formula units
1.0
-1.093 2.864 -2.119
-1.427 -2.581 -2.753
-3.583 0.004 1.853
Co Au Y
2 1 1
direct
0.000 0.000 0.500 Co
0.000 0.500 0.000 Co
0.500 0.000 0.000 Au
0.500 0.500 0.500 Y